Entry one
InOs5 GGA-PBE relaxed; crystal system = monoclinic; SG = Cm; ρ = 19387 kg/m3
1.0
5.093 -1.404 0.000
5.093 1.404 0.000
-1.702 0.000 6.383
In Os
1 5
Cartesian
0.000 0.000 0.000
-0.544 0.000 3.825
2.095 0.000 4.134
3.304 0.000 1.824
6.162 0.000 2.169
5.804 0.000 5.934

***

Entry two
InOs5 GGA-PBE relaxed; crystal system = tetragonal; SG = P4/mmm; ρ = 19300 kg/m3
1.0
2.794 0.000 0.000
0.000 2.794 0.000
0.000 0.000 11.748
In Os
1 5
Cartesian
0.000 0.000 0.000
0.000 0.000 3.940
0.000 0.000 7.808
1.397 1.397 2.182
1.397 1.397 5.874
1.397 1.397 9.566

***

Entry three
InOs5 GGA-PBE relaxed; crystal system = hexagonal; SG = P-62m; ρ = 19341 kg/m3
1.0
4.864 0.000 0.000
-2.432 4.212 0.000
0.000 0.000 4.468
In Os
1 5
Cartesian
0.000 0.000 0.000
-1.563 2.707 2.234
0.000 2.808 0.000
0.869 1.505 2.234
3.125 0.000 2.234
2.432 1.404 0.000

***

Which structure is most stable? entry one, by 0.018 eV/atom over the runner-up.

***

Entry one
InPOs2 GGA-PBE relaxed; crystal system = cubic; SG = Fm-3m; ρ = 14472 kg/m3
1.0
0.000 3.114 3.114
3.114 0.000 3.114
3.114 3.114 0.000
In P Os
1 1 2
Cartesian
0.000 0.000 0.000
3.114 3.114 3.114
1.557 1.557 1.557
4.671 4.671 4.671

***

Entry two
InPOs2 GGA-PBE relaxed; crystal system = trigonal; SG = R-3m; ρ = 14179 kg/m3
1.0
1.470 0.849 8.230
-1.470 0.849 8.230
0.000 -1.698 8.230
In P Os
1 1 2
Cartesian
0.000 0.000 0.000
0.000 0.000 12.345
0.000 0.000 5.829
0.000 0.000 18.861

***

Which structure is most stable? entry two, by 0.326 eV/atom over the runner-up.

***

Entry one
InPOs3 GGA-PBE relaxed; crystal system = cubic; SG = Pm-3m; ρ = 14022 kg/m3
1.0
4.394 0.000 0.000
0.000 4.394 0.000
0.000 0.000 4.394
In P Os
1 1 3
Cartesian
0.000 0.000 0.000
2.197 2.197 2.197
0.000 2.197 2.197
2.197 0.000 2.197
2.197 2.197 0.000

***

Entry two
InPOs3 GGA-PBE relaxed; crystal system = cubic; SG = Pm-3m; ρ = 10605 kg/m3
1.0
4.823 0.000 0.000
0.000 4.823 0.000
0.000 0.000 4.823
In P Os
1 1 3
Cartesian
0.000 0.000 0.000
2.411 2.411 2.411
0.000 0.000 2.411
0.000 2.411 0.000
2.411 0.000 0.000

***

Which structure is most stable? entry one, by 2.445 eV/atom over the runner-up.

***

Entry one
InP2OsS GGA-PBE relaxed; crystal system = tetragonal; SG = P4/mmm; ρ = 5809 kg/m3
1.0
4.512 0.000 0.000
0.000 4.512 0.000
0.000 0.000 5.604
In P Os S
1 2 1 1
Cartesian
0.000 0.000 0.000
0.000 2.256 2.802
2.256 0.000 2.802
2.256 2.256 2.802
2.256 2.256 0.000

***

Entry two
InP2OsS GGA-PBE relaxed; crystal system = tetragonal; SG = P4/mmm; ρ = 5619 kg/m3
1.0
4.939 0.000 0.000
0.000 4.939 0.000
0.000 0.000 4.834
In P Os S
1 2 1 1
Cartesian
0.000 0.000 0.000
0.000 2.470 0.000
2.470 0.000 0.000
2.470 2.470 2.417
0.000 0.000 2.417

***

Which structure is most stable? entry one, by 1.562 eV/atom over the runner-up.

***

Entry one
InOsPb GGA-PBE relaxed; crystal system = tetragonal; SG = I4mm; ρ = 12435 kg/m3
1.0
-1.629 1.629 6.441
1.629 -1.629 6.441
1.629 1.629 -6.441
In Os Pb
1 1 1
Cartesian
0.000 0.000 0.000
0.000 0.000 4.891
0.000 0.000 9.487

***

Entry two
InOsPb GGA-PBE relaxed; crystal system = cubic; SG = F-43m; ρ = 12144 kg/m3
1.0
0.000 3.272 3.272
3.272 0.000 3.272
3.272 3.272 0.000
In Os Pb
1 1 1
Cartesian
0.000 0.000 0.000
1.636 1.636 1.636
3.272 3.272 3.272

***

Entry three
InOsPb GGA-PBE relaxed; crystal system = trigonal; SG = P3m1; ρ = 12996 kg/m3
1.0
3.291 0.000 0.000
-1.646 2.850 0.000
0.000 0.000 6.976
In Os Pb
1 1 1
Cartesian
0.000 0.000 0.000
1.646 0.950 2.012
0.000 1.900 4.112

***

Which structure is most stable? entry two, by 0.023 eV/atom over the runner-up.

***

Entry one
Pm3InOs GGA-PBE relaxed; crystal system = cubic; SG = Pm-3m; ρ = 7445 kg/m3
1.0
5.485 0.000 0.000
0.000 5.485 0.000
0.000 0.000 5.485
Pm In Os
3 1 1
Cartesian
0.000 0.000 2.743
0.000 2.743 0.000
2.743 0.000 0.000
2.743 2.743 2.743
0.000 0.000 0.000

***

Entry two
Pm3InOs GGA-PBE relaxed; crystal system = orthorhombic; SG = Fmmm; ρ = 8955 kg/m3
1.0
0.000 4.963 8.212
3.367 0.000 8.212
3.367 4.963 0.000
Pm In Os
6 2 2
Cartesian
3.367 3.037 6.408
3.367 4.963 3.301
3.367 3.037 10.016
3.367 6.889 6.408
3.367 4.963 13.123
3.367 6.889 10.016
5.346 4.963 8.212
1.388 4.963 8.212
1.684 2.481 4.106
5.051 7.444 12.318

***

Which structure is most stable? entry two, by 0.231 eV/atom over the runner-up.

***

Entry one
InOsPt2 GGA-PBE relaxed; crystal system = tetragonal; SG = P4mm; ρ = 17536 kg/m3
1.0
2.912 0.000 0.000
0.000 2.912 0.000
0.000 0.000 7.764
In Os Pt
1 1 2
Cartesian
0.000 0.000 0.000
1.456 1.456 2.074
0.000 0.000 3.780
1.456 1.456 5.767

***

Entry two
InOsPt2 GGA-PBE relaxed; crystal system = tetragonal; SG = P4/mmm; ρ = 17730 kg/m3
1.0
3.968 0.000 0.000
0.000 3.968 0.000
0.000 0.000 4.135
In Os Pt
1 1 2
Cartesian
0.000 0.000 0.000
1.984 1.984 0.000
0.000 1.984 2.068
1.984 0.000 2.068

***

Which structure is most stable? entry two, by 0.007 eV/atom over the runner-up.

***

Entry one
InOsPt2 GGA-PBE relaxed; crystal system = tetragonal; SG = I4/mmm; ρ = 17662 kg/m3
1.0
-2.028 2.028 3.973
2.028 -2.028 3.973
2.028 2.028 -3.973
In Os Pt
1 1 2
Cartesian
0.000 0.000 0.000
0.000 0.000 3.973
2.028 0.000 1.986
0.000 2.028 1.986

***

Entry two
InOsPt2 GGA-PBE relaxed; crystal system = cubic; SG = Fm-3m; ρ = 17225 kg/m3
1.0
0.000 3.224 3.224
3.224 0.000 3.224
3.224 3.224 0.000
In Os Pt
1 1 2
Cartesian
0.000 0.000 0.000
3.224 3.224 3.224
1.612 1.612 1.612
4.836 4.836 4.836

***

Which structure is most stable? entry one, by 0.134 eV/atom over the runner-up.

***

Entry one
TbPuInOs GGA-PBE relaxed; crystal system = tetragonal; SG = P4mm; ρ = 12621 kg/m3
1.0
3.304 0.000 0.000
0.000 3.304 0.000
0.000 0.000 8.532
Tb Pu In Os
1 1 1 1
Cartesian
0.000 0.000 0.000
0.000 0.000 5.015
1.652 1.652 2.505
1.652 1.652 6.737

***

Entry two
TbPuInOs GGA-PBE relaxed; crystal system = cubic; SG = F-43m; ρ = 12892 kg/m3
1.0
0.000 3.573 3.573
3.573 0.000 3.573
3.573 3.573 0.000
Tb Pu In Os
1 1 1 1
Cartesian
0.000 0.000 0.000
3.573 3.573 3.573
1.786 1.786 1.786
5.359 5.359 5.359

***

Which structure is most stable? entry one, by 0.181 eV/atom over the runner-up.

***

Entry one
RbIn3Os GGA-PBE relaxed; crystal system = cubic; SG = Pm-3m; ρ = 6993 kg/m3
1.0
5.281 0.000 0.000
0.000 5.281 0.000
0.000 0.000 5.281
Rb In Os
1 3 1
Cartesian
0.000 0.000 0.000
0.000 2.640 2.640
2.640 0.000 2.640
2.640 2.640 0.000
2.640 2.640 2.640

***

Entry two
RbIn3Os GGA-PBE relaxed; crystal system = cubic; SG = Pm-3m; ρ = 4736 kg/m3
1.0
6.013 0.000 0.000
0.000 6.013 0.000
0.000 0.000 6.013
Rb In Os
1 3 1
Cartesian
0.000 0.000 0.000
0.000 0.000 3.007
0.000 3.007 0.000
3.007 0.000 0.000
3.007 3.007 3.007

***

Which structure is most stable? entry one, by 2.240 eV/atom over the runner-up.

***

Entry one
In2ReOs GGA-PBE relaxed; crystal system = tetragonal; SG = P4/mmm; ρ = 14282 kg/m3
1.0
4.181 0.000 0.000
0.000 4.181 0.000
0.000 0.000 4.030
In Re Os
2 1 1
Cartesian
0.000 2.091 0.000
2.091 0.000 0.000
0.000 0.000 2.015
2.091 2.091 2.015

***

Entry two
In2ReOs GGA-PBE relaxed; crystal system = monoclinic; SG = Cm; ρ = 14038 kg/m3
1.0
5.265 -1.468 0.000
5.265 1.468 0.000
-1.863 0.000 4.638
In Re Os
2 1 1
Cartesian
0.000 0.000 0.000
1.060 0.000 2.823
3.853 0.000 2.225
7.723 0.000 0.577

***

Entry three
In2ReOs GGA-PBE relaxed; crystal system = monoclinic; SG = C2/m; ρ = 14403 kg/m3
1.0
4.614 -1.486 0.000
4.614 1.486 0.000
-0.963 0.000 5.096
In Re Os
2 1 1
Cartesian
2.053 0.000 1.256
6.210 0.000 3.840
-0.482 0.000 2.548
4.614 0.000 0.000

***

Entry four
In2ReOs GGA-PBE relaxed; crystal system = trigonal; SG = R-3m; ρ = 14403 kg/m3
1.0
1.490 0.860 9.083
-1.490 0.860 9.083
0.000 -1.721 9.083
In Re Os
2 1 1
Cartesian
0.000 0.000 6.777
0.000 0.000 20.471
0.000 0.000 0.000
0.000 0.000 13.624

***

Which structure is most stable? entry two, by 0.190 eV/atom over the runner-up.

***

Entry one
In2ReOs GGA-PBE relaxed; crystal system = cubic; SG = Fm-3m; ρ = 14524 kg/m3
1.0
0.000 3.260 3.260
3.260 0.000 3.260
3.260 3.260 0.000
In Re Os
2 1 1
Cartesian
1.630 1.630 1.630
4.890 4.890 4.890
0.000 0.000 0.000
3.260 3.260 3.260

***

Entry two
In2ReOs GGA-PBE relaxed; crystal system = orthorhombic; SG = Cmmm; ρ = 14233 kg/m3
1.0
1.538 -2.486 0.000
1.538 2.486 0.000
0.000 0.000 9.249
In Re Os
2 1 1
Cartesian
0.000 0.000 2.275
0.000 0.000 6.973
1.538 0.000 4.624
1.538 0.000 0.000

***

Which structure is most stable? entry two, by 0.006 eV/atom over the runner-up.